(1)
A relaxed ReAs2Cl crystal. Source: Alexandria via LeMat-Bulk, functional PBE.

Cell: 3.9404 4.0625 6.1261 Å, 90.00 91.15 90.00°
Sites, in units of the cell vectors:
Re 0.0000 0.0000 0.0000
As 0.4652 0.0000 0.2670
As 0.8470 0.5000 0.1866
Cl 0.0830 0.5000 0.7316

Summary:
E_tot = -5.57 eV per atom
formation energy from raw total energies = 126 kJ/mol of formula units
energy above the most stable polymorph in this dataset = 272 meV per atom

(2)
A relaxed La2AlAu crystal. Source: Alexandria via LeMat-Bulk, functional PBE.

Cell: 3.9686 3.9686 9.0971 Å, 102.59 102.59 60.12°
Sites, in units of the cell vectors:
La 0.2476 0.2476 0.2436
La 0.7524 0.7524 0.7564
Al 0.0000 0.0000 0.5000
Au 0.5000 0.5000 0.0000

Summary:
E_tot = -4.57 eV per atom
E_form = -0.36 eV per atom